1.
# NaHf2HIr | Alexandria via LeMat-Bulk | PBE | relaxed
# E_tot: -33.5 eV for the cell shown
# M_tot: 0.00 μB per atom
data_NaHf2HIr
_cell_length_a 4.6233
_cell_length_b 4.6233
_cell_length_c 3.6953
_cell_angle_alpha 90.00
_cell_angle_beta 90.00
_cell_angle_gamma 90.00
_space_group_name_H-M_alt 'P 4/m m m'
_space_group_IT_number 123
_space_group_name_Hall '-P 4 2'
loop_
_atom_site_label
_atom_site_type_symbol
_atom_site_fract_x
_atom_site_fract_y
_atom_site_fract_z
_atom_site_occupancy
Na1 Na 0.0000 0.0000 0.0000 1
Hf1 Hf 0.0000 0.5000 0.5000 1
H1 H 0.5000 0.5000 0.5000 1
Ir1 Ir 0.5000 0.5000 0.0000 1

2.
# Tb2MgPd4 | Alexandria via LeMat-Bulk | PBE | relaxed
# M_tot: 0.00 μB per atom
# calculated formation energy: -720.2 meV per atom
data_Tb2MgPd4
_cell_length_a 7.6949
_cell_length_b 5.0959
_cell_length_c 7.4349
_cell_angle_alpha 90.00
_cell_angle_beta 95.06
_cell_angle_gamma 90.00
_space_group_name_H-M_alt 'C 1 2/m 1'
_space_group_IT_number 12
loop_
_space_group_symop_operation_xyz
'x,y,z'
'-x,-y,-z'
'-x,y,-z'
'x,-y,z'
'x+1/2,y+1/2,z'
'-x+1/2,-y+1/2,-z'
'-x+1/2,y+1/2,-z'
'x+1/2,-y+1/2,z'
loop_
_atom_site_label
_atom_site_type_symbol
_atom_site_fract_x
_atom_site_fract_y
_atom_site_fract_z
_atom_site_occupancy
Tb1 Tb 0.1995 0.0000 0.2963 1
Mg1 Mg 0.0000 0.5000 0.0000 1
Pd1 Pd 0.0866 0.5000 0.3539 1
Pd2 Pd 0.1522 0.0000 0.8937 1

3.
# SrScTe2 | Alexandria via LeMat-Bulk | PBE | relaxed
# offset from the most stable computed form: 41 meV/atom
# M_tot: 0.00 μB per atom
data_SrScTe2
_cell_length_a 4.3106
_cell_length_b 4.3106
_cell_length_c 23.1011
_cell_angle_alpha 90.00
_cell_angle_beta 90.00
_cell_angle_gamma 120.00
_space_group_name_H-M_alt 'R 3 m'
_space_group_IT_number 160
_space_group_name_Hall 'R 3 -2"'
loop_
_atom_site_label
_atom_site_type_symbol
_atom_site_fract_x
_atom_site_fract_y
_atom_site_fract_z
_atom_site_occupancy
Sr1 Sr 0.0000 0.0000 0.0000 1
Sc1 Sc 0.0000 0.0000 0.1717 1
Te1 Te 0.0000 0.0000 0.5744 1
Te2 Te 0.0000 0.0000 0.7641 1

4.
# HgSbAsI | Alexandria via LeMat-Bulk | PBE | relaxed
# E_tot: -21.0 eV for the cell shown
# M_tot: 0.00 μB per atom
data_HgSbAsI
_cell_length_a 7.1992
_cell_length_b 4.1564
_cell_length_c 8.8332
_cell_angle_alpha 90.00
_cell_angle_beta 90.04
_cell_angle_gamma 90.00
_space_group_name_H-M_alt 'C 1 m 1'
_space_group_IT_number 8
loop_
_space_group_symop_operation_xyz
'x,y,z'
'x,-y,z'
'x+1/2,y+1/2,z'
'x+1/2,-y+1/2,z'
loop_
_atom_site_label
_atom_site_type_symbol
_atom_site_fract_x
_atom_site_fract_y
_atom_site_fract_z
_atom_site_occupancy
Hg1 Hg 0.0000 0.0000 0.0000 1
Sb1 Sb 0.4991 0.5000 0.3373 1
As1 As 0.1659 0.5000 0.4956 1
I1 I 0.3329 0.0000 0.7625 1

Please write out number 1 again, unchanged.
# NaHf2HIr | Alexandria via LeMat-Bulk | PBE | relaxed
# E_tot: -33.5 eV for the cell shown
# M_tot: 0.00 μB per atom
data_NaHf2HIr
_cell_length_a 4.6233
_cell_length_b 4.6233
_cell_length_c 3.6953
_cell_angle_alpha 90.00
_cell_angle_beta 90.00
_cell_angle_gamma 90.00
_space_group_name_H-M_alt 'P 4/m m m'
_space_group_IT_number 123
_space_group_name_Hall '-P 4 2'
loop_
_atom_site_label
_atom_site_type_symbol
_atom_site_fract_x
_atom_site_fract_y
_atom_site_fract_z
_atom_site_occupancy
Na1 Na 0.0000 0.0000 0.0000 1
Hf1 Hf 0.0000 0.5000 0.5000 1
H1 H 0.5000 0.5000 0.5000 1
Ir1 Ir 0.5000 0.5000 0.0000 1

What is the M_tot in the third record?
0.00 μB per atom